1.
First-principles (PBE-GGA) data for crystalline ZrTa4Ga4 at its relaxed geometry, as listed in Alexandria via LeMat-Bulk.

Unit cell a=7.9335 b=7.9335 c=5.1364 alpha=90.00 beta=90.00 gamma=90.00
Last column: nearest neighbours and their distance in Å.
Space group P4_2/n (No. 86, origin choice 2)
One atom of each set of equivalent atoms:
Zr  0.2500  0.2500  0.2500 [2 per cell]  4 Ga 2.81, 4 Ta 2.85
Ta  0.0956  0.8047  0.6284 [8 per cell]  1 Ta 2.60, 3 Ga 2.74-2.81, 1 Zr 2.85
Ga  0.0477  0.1263  0.8449 [8 per cell]  3 Ga 2.67-2.83, 5 Ta 2.74-2.99, 1 Zr 2.81

Calculated values
spin magnetization: 0.000 μB per atom
calculated formation energy: 0.04 eV/atom
theoretical density: 11.2 g/cm³

=====

2.
First-principles (PBE-GGA) data for crystalline Zr2TaGa at its relaxed geometry, as listed in Alexandria via LeMat-Bulk.

Unit cell a=3.4917 b=3.4917 c=6.4951 alpha=90.00 beta=90.00 gamma=90.00
Last column: nearest neighbours and their distance in Å.
Space group P4/mmm (No. 123)
One atom of each set of equivalent atoms:
Zr  0.0000  0.0000  0.2462 [2 per cell]  4 Ga 2.94, 4 Ta 2.97, 1 Zr 3.20
Ta  0.5000  0.5000  0.5000 [1 per cell]  8 Zr 2.97, 2 Ga 3.25
Ga  0.5000  0.5000  0.0000 [1 per cell]  8 Zr 2.94, 2 Ta 3.25

Calculated values
spin magnetization: 0.000 μB per atom
calculated formation energy: -0.23 eV/atom
theoretical density: 9.1 g/cm³

=====

3.
First-principles (PBE-GGA) data for crystalline Tb3Ga at its relaxed geometry, as listed in Alexandria via LeMat-Bulk.

Unit cell a=3.7125 b=5.2383 c=11.4388 alpha=90.00 beta=90.00 gamma=90.00
Last column: nearest neighbours and their distance in Å.
Space group Immm (No. 71)
One atom of each set of equivalent atoms:
Tb  0.0000  0.0000  0.0000 [2 per cell]  4 Ga 3.21, 4 Tb 3.56
Tb  0.0000  0.5000  0.2112 [4 per cell]  2 Ga 3.05, 4 Tb 3.33
Ga  0.0000  0.0000  0.5000 [2 per cell]  8 Tb 3.05-3.21

Calculated values
spin magnetization: 0.000 μB per atom
calculated formation energy: -0.29 eV/atom
theoretical density: 8.2 g/cm³

=====

4.
First-principles (PBE-GGA) data for crystalline TbGa at its relaxed geometry, as listed in Alexandria via LeMat-Bulk.

Unit cell a=5.9491 b=5.9491 c=5.9491 alpha=90.00 beta=90.00 gamma=90.00
Last column: nearest neighbours and their distance in Å.
Space group Fm-3m (No. 225)
One atom of each set of equivalent atoms:
Tb  0.0000  0.0000  0.0000 [4 per cell]  6 Ga 2.97
Ga  0.0000  0.0000  0.5000 [4 per cell]  6 Tb 2.97

Calculated values
spin magnetization: 0.134 μB per atom
calculated formation energy: -0.27 eV/atom
theoretical density: 7.2 g/cm³

=====

5.
First-principles (PBE-GGA) data for crystalline Tb3Ga at its relaxed geometry, as listed in Alexandria via LeMat-Bulk.

Unit cell a=7.5458 b=7.5458 c=7.5458 alpha=90.00 beta=90.00 gamma=90.00
Last column: nearest neighbours and their distance in Å.
Space group Fm-3m (No. 225)
One atom of each set of equivalent atoms:
Tb  0.0000  0.0000  0.0000 [4 per cell]  8 Tb 3.27
Tb  0.2500  0.2500  0.2500 [8 per cell]  4 Tb 3.27, 4 Ga 3.27
Ga  0.0000  0.0000  0.5000 [4 per cell]  8 Tb 3.27

Calculated values
spin magnetization: 0.294 μB per atom
calculated formation energy: -0.07 eV/atom
theoretical density: 8.4 g/cm³

=====

6.
First-principles (PBE-GGA) data for crystalline Tb3Ga at its relaxed geometry, as listed in Alexandria via LeMat-Bulk.

Unit cell a=12.1233 b=12.1233 c=6.1261 alpha=90.00 beta=90.00 gamma=90.00
Last column: nearest neighbours and their distance in Å.
Space group I-4 (No. 82)
One atom of each set of equivalent atoms:
Tb  0.0392  0.1350  0.2703 [8 per cell]  4 Ga 3.01-3.19
Tb  0.0790  0.6182  0.5083 [8 per cell]  2 Ga 3.11-3.14, 2 Tb 3.45
Tb  0.1697  0.7169  0.0054 [8 per cell]  3 Ga 3.04-3.22
Ga  0.0522  0.2009  0.7674 [8 per cell]  9 Tb 3.01-3.22

Calculated values
spin magnetization: 0.018 μB per atom
calculated formation energy: -0.26 eV/atom
theoretical density: 8.1 g/cm³

=====

7.
First-principles (PBE-GGA) data for crystalline Tb4Ga at its relaxed geometry, as listed in Alexandria via LeMat-Bulk.

Unit cell a=6.4505 b=6.4505 c=14.3138 alpha=90.00 beta=90.00 gamma=90.00
Last column: nearest neighbours and their distance in Å.
Space group I4_1/a (No. 88, origin choice 2)
One atom of each set of equivalent atoms:
Tb  0.1374  0.4906  0.2964 [16 per cell]  2 Ga 3.02-3.03
Ga  0.0000  0.2500  0.1250 [4 per cell]  8 Tb 3.02-3.03

Calculated values
polymorph energy (0 for the lowest one): 0.000 eV per atom
spin magnetization: 0.000 μB per atom
calculated formation energy: -0.16 eV/atom
theoretical density: 7.9 g/cm³

=====

8.
First-principles (PBE-GGA) data for crystalline TbGa2 at its relaxed geometry, as listed in Alexandria via LeMat-Bulk.

Unit cell a=5.8894 b=5.7809 c=4.2961 alpha=90.00 beta=111.64 gamma=90.00
Last column: nearest neighbours and their distance in Å.
Space group C2/m (No. 12)
One atom of each set of equivalent atoms:
Tb  0.0000  0.0000  0.0000 [2 per cell]  8 Ga 2.96-3.16
Ga  0.1242  0.5000  0.3158 [4 per cell]  2 Ga 2.52-2.56

Calculated values
spin magnetization: 0.000 μB per atom
calculated formation energy: -0.38 eV/atom
theoretical density: 7.3 g/cm³

=====

9.
First-principles (PBE-GGA) data for crystalline Tb5Ga4 at its relaxed geometry, as listed in Alexandria via LeMat-Bulk.

Unit cell a=10.9508 b=4.4563 c=10.0727 alpha=90.00 beta=113.03 gamma=90.00
Last column: nearest neighbours and their distance in Å.
Space group C2/m (No. 12)
One atom of each set of equivalent atoms:
Tb  0.0000  0.0000  0.0000 [2 per cell]  4 Ga 2.97
Tb  0.1022  0.0000  0.3916 [4 per cell]  7 Ga 3.09-3.27
Tb  0.2434  0.0000  0.8253 [4 per cell]  6 Ga 3.04-3.33
Ga  0.0498  0.5000  0.8327 [4 per cell]  1 Ga 2.62
Ga  0.1167  0.5000  0.6101 [4 per cell]  2 Ga 2.62-2.65

Calculated values
spin magnetization: 0.000 μB per atom
calculated formation energy: -0.56 eV/atom
theoretical density: 7.9 g/cm³

=====

10.
First-principles (PBE-GGA) data for crystalline Tb4Ga at its relaxed geometry, as listed in Alexandria via LeMat-Bulk.

Unit cell a=5.5288 b=5.5288 c=5.5288 alpha=90.00 beta=90.00 gamma=90.00
Last column: nearest neighbours and their distance in Å.
Space group Pm-3m (No. 221)
One atom of each set of equivalent atoms:
Tb  0.0000  0.0000  0.0000 [1 per cell]  12 Tb 3.91
Tb  0.0000  0.5000  0.5000 [3 per cell]  2 Ga 2.76
Ga  0.5000  0.5000  0.5000 [1 per cell]  6 Tb 2.76

Calculated values
polymorph energy (0 for the lowest one): 0.290 eV per atom
spin magnetization: 0.000 μB per atom
calculated formation energy: 0.13 eV/atom
theoretical density: 6.9 g/cm³

=====

11.
First-principles (PBE-GGA) data for crystalline TbGa3 at its relaxed geometry, as listed in Alexandria via LeMat-Bulk.

Unit cell a=6.2806 b=6.2806 c=4.5922 alpha=90.00 beta=90.00 gamma=120.00
Last column: nearest neighbours and their distance in Å.
Space group P6_3/mmc (No. 194)
One atom of each set of equivalent atoms:
Tb  0.3333  0.6667  0.2500 [2 per cell]  12 Ga 3.07-3.15
Ga  0.1466  0.2933  0.7500 [6 per cell]  6 Ga 2.76-2.80, 2 Tb 3.07

Calculated values
spin magnetization: 0.000 μB per atom
calculated formation energy: -0.55 eV/atom
theoretical density: 7.8 g/cm³

=====

12.
First-principles (PBE-GGA) data for crystalline Tb3Ga8 at its relaxed geometry, as listed in Alexandria via LeMat-Bulk.

Unit cell a=4.1418 b=4.2686 c=25.2962 alpha=90.00 beta=90.00 gamma=90.00
Last column: nearest neighbours and their distance in Å.
Space group Immm (No. 71)
One atom of each set of equivalent atoms:
Tb  0.0000  0.0000  0.0000 [2 per cell]  12 Ga 3.15-3.21
Tb  0.0000  0.5000  0.1439 [4 per cell]  14 Ga 3.19-3.46
Ga  0.0000  0.0000  0.2514 [4 per cell]  4 Ga 2.59-2.60
Ga  0.0000  0.0000  0.4520 [4 per cell]  3 Ga 2.43
Ga  0.0000  0.5000  0.3102 [4 per cell]  5 Ga 2.42-2.60
Ga  0.0000  0.5000  0.4060 [4 per cell]  3 Ga 2.42-2.43

Calculated values
spin magnetization: 0.000 μB per atom
calculated formation energy: -0.54 eV/atom
theoretical density: 7.7 g/cm³

=====

13.
First-principles (PBE-GGA) data for crystalline Tb3Ga5 at its relaxed geometry, as listed in Alexandria via LeMat-Bulk.

Unit cell a=5.8506 b=17.6630 c=14.0834 alpha=90.00 beta=90.00 gamma=90.00
Last column: nearest neighbours and their distance in Å.
Space group Fdd2 (No. 43)
One atom of each set of equivalent atoms:
Tb  0.0000  0.0000  0.0000 [8 per cell]  10 Ga 3.03-3.33
Tb  0.0012  0.1710  0.5028 [16 per cell]  10 Ga 3.05-3.37
Ga  0.0000  0.0000  0.4441 [8 per cell]  2 Ga 2.55
Ga  0.0112  0.3352  0.5870 [16 per cell]  3 Ga 2.51-2.55
Ga  0.0286  0.1737  0.9083 [16 per cell]  2 Ga 2.51-2.53

Calculated values
polymorph energy (0 for the lowest one): 0.122 eV per atom
spin magnetization: 0.000 μB per atom
calculated formation energy: -0.54 eV/atom
theoretical density: 7.5 g/cm³

=====

14.
First-principles (PBE-GGA) data for crystalline TbGa2 at its relaxed geometry, as listed in Alexandria via LeMat-Bulk.

Unit cell a=4.2232 b=4.2232 c=4.1172 alpha=90.00 beta=90.00 gamma=120.00
Last column: nearest neighbours and their distance in Å.
Space group P6/mmm (No. 191)
One atom of each set of equivalent atoms:
Tb  0.0000  0.0000  0.0000 [1 per cell]  12 Ga 3.19
Ga  0.3333  0.6667  0.5000 [2 per cell]  3 Ga 2.44

Calculated values
spin magnetization: 0.000 μB per atom
calculated formation energy: -0.66 eV/atom
theoretical density: 7.8 g/cm³

=====

15.
First-principles (PBE-GGA) data for crystalline Tb3Ga at its relaxed geometry, as listed in Alexandria via LeMat-Bulk.

Unit cell a=4.6456 b=4.6456 c=9.8420 alpha=90.00 beta=90.00 gamma=90.00
Last column: nearest neighbours and their distance in Å.
Space group I4/mmm (No. 139)
One atom of each set of equivalent atoms:
Tb  0.0000  0.0000  0.0000 [2 per cell]  4 Ga 3.28, 8 Tb 3.38
Tb  0.0000  0.5000  0.2500 [4 per cell]  8 Tb 3.28-3.38, 4 Ga 3.38
Ga  0.0000  0.0000  0.5000 [2 per cell]  12 Tb 3.28-3.38

Calculated values
spin magnetization: 0.000 μB per atom
calculated formation energy: -0.21 eV/atom
theoretical density: 8.5 g/cm³

=====

16.
First-principles (PBE-GGA) data for crystalline TbGa at its relaxed geometry, as listed in Alexandria via LeMat-Bulk.

Unit cell a=4.3929 b=10.9567 c=4.0483 alpha=90.00 beta=90.00 gamma=90.00
Last column: nearest neighbours and their distance in Å.
Space group Cmcm (No. 63)
One atom of each set of equivalent atoms:
Tb  0.0000  0.1394  0.2500 [4 per cell]  7 Ga 3.06-3.23
Ga  0.0000  0.4233  0.2500 [4 per cell]  2 Ga 2.63

Calculated values
spin magnetization: 0.001 μB per atom
calculated formation energy: -0.63 eV/atom
theoretical density: 7.8 g/cm³

=====

17.
First-principles (PBE-GGA) data for crystalline Tb3Ga5 at its relaxed geometry, as listed in Alexandria via LeMat-Bulk.

Unit cell a=11.5001 b=9.7313 c=6.1452 alpha=90.00 beta=90.00 gamma=90.00
Last column: nearest neighbours and their distance in Å.
Space group Pnma (No. 62)
One atom of each set of equivalent atoms:
Tb  0.0753  0.2500  0.1527 [4 per cell]  8 Ga 2.87-3.20
Tb  0.1483  0.5103  0.6107 [8 per cell]  10 Ga 3.00-3.34
Ga  0.0054  0.2500  0.6311 [4 per cell]  3 Ga 2.66-2.92
Ga  0.0897  0.5530  0.1270 [8 per cell]  4 Ga 2.66-2.91, 1 Tb 2.96
Ga  0.1984  0.7500  0.9018 [4 per cell]  3 Ga 2.66-2.67
Ga  0.2477  0.7500  0.3246 [4 per cell]  4 Ga 2.66-2.92, 1 Tb 2.87

Calculated values
polymorph energy (0 for the lowest one): 0.000 eV per atom
spin magnetization: 0.000 μB per atom
calculated formation energy: -0.66 eV/atom
theoretical density: 8.0 g/cm³

=====

18.
First-principles (PBE-GGA) data for crystalline TbGa2 at its relaxed geometry, as listed in Alexandria via LeMat-Bulk.

Unit cell a=7.8104 b=7.8104 c=7.8104 alpha=90.00 beta=90.00 gamma=90.00
Last column: nearest neighbours and their distance in Å.
Space group Fd-3m (No. 227, origin choice 2)
One atom of each set of equivalent atoms:
Tb  0.1250  0.1250  0.1250 [8 per cell]  12 Ga 3.24, 4 Tb 3.38
Ga  0.0000  0.0000  0.5000 [16 per cell]  6 Ga 2.76

Calculated values
spin magnetization: 0.000 μB per atom
calculated formation energy: -0.56 eV/atom
theoretical density: 8.3 g/cm³

=====

19.
First-principles (PBE-GGA) data for crystalline Tb3Ga2 at its relaxed geometry, as listed in Alexandria via LeMat-Bulk.

Unit cell a=8.6762 b=4.9997 c=6.1785 alpha=90.00 beta=90.02 gamma=90.00
Last column: nearest neighbours and their distance in Å.
Space group C2/m (No. 12)
One atom of each set of equivalent atoms:
Tb  0.0000  0.0000  0.0000 [2 per cell]  6 Ga 3.08-3.09
Tb  0.1662  0.5000  0.3358 [4 per cell]  5 Ga 3.02-3.16
Ga  0.1672  0.5000  0.8246 [4 per cell]  8 Tb 3.02-3.16

Calculated values
spin magnetization: 0.000 μB per atom
calculated formation energy: -0.37 eV/atom
theoretical density: 7.6 g/cm³

=====

20.
First-principles (PBE-GGA) data for crystalline Tb3Ga at its relaxed geometry, as listed in Alexandria via LeMat-Bulk.

Unit cell a=3.4049 b=3.4493 c=10.0533 alpha=90.00 beta=90.00 gamma=90.00
Last column: nearest neighbours and their distance in Å.
Space group Pmm2 (No. 25)
One atom of each set of equivalent atoms:
Tb  0.0000  0.0000  0.0000 [1 per cell]  2 Ga 3.01
Tb  0.0000  0.5000  0.4293 [1 per cell]  4 Ga 3.04
Tb  0.5000  0.5000  0.7407 [1 per cell]  10 Tb 3.40-3.56
Ga  0.5000  0.0000  0.2470 [1 per cell]  6 Tb 3.01-3.04

Calculated values
spin magnetization: 0.000 μB per atom
calculated formation energy: -0.03 eV/atom
theoretical density: 7.7 g/cm³

=====

21.
First-principles (PBE-GGA) data for crystalline TbGa3 at its relaxed geometry, as listed in Alexandria via LeMat-Bulk.

Unit cell a=4.2853 b=4.2853 c=4.2853 alpha=90.00 beta=90.00 gamma=90.00
Last column: nearest neighbours and their distance in Å.
Space group Pm-3m (No. 221)
One atom of each set of equivalent atoms:
Tb  0.0000  0.0000  0.0000 [1 per cell]  12 Ga 3.03
Ga  0.0000  0.5000  0.5000 [3 per cell]  4 Tb 3.03, 8 Ga 3.03

Calculated values
spin magnetization: 0.000 μB per atom
calculated formation energy: -0.54 eV/atom
theoretical density: 7.8 g/cm³

=====

22.
First-principles (PBE-GGA) data for crystalline Tb4Ga3 at its relaxed geometry, as listed in Alexandria via LeMat-Bulk.

Unit cell a=13.6035 b=13.6035 c=6.3972 alpha=90.00 beta=90.00 gamma=120.00
Last column: nearest neighbours and their distance in Å.
Space group R-3 (No. 148, hexagonal axes)
One atom of each set of equivalent atoms:
Tb  0.0000  0.0000  0.0000 [3 per cell]  8 Tb 3.20-3.37, 6 Ga 3.34
Tb  0.0000  0.0000  0.5000 [3 per cell]  6 Ga 3.03, 2 Tb 3.20
Tb  0.0548  0.7989  0.1755 [18 per cell]  7 Ga 3.05-3.40, 2 Tb 3.37
Ga  0.0482  0.8270  0.7028 [18 per cell]  8 Tb 3.03-3.34

Calculated values
spin magnetization: 0.000 μB per atom
calculated formation energy: -0.47 eV/atom
theoretical density: 8.2 g/cm³

=====

23.
First-principles (PBE-GGA) data for crystalline TbGa at its relaxed geometry, as listed in Alexandria via LeMat-Bulk.

Unit cell a=8.8279 b=7.3648 c=5.6115 alpha=90.00 beta=90.00 gamma=90.00
Last column: nearest neighbours and their distance in Å.
Space group Cmcm (No. 63)
One atom of each set of equivalent atoms:
Tb  0.1869  0.1552  0.2500 [8 per cell]  8 Ga 2.99-3.34, 3 Tb 3.30-3.33
Ga  0.0000  0.1831  0.7500 [4 per cell]  2 Ga 2.72, 4 Tb 2.99-3.01
Ga  0.0000  0.5000  0.0000 [4 per cell]  4 Ga 2.72-2.81

Calculated values
spin magnetization: 0.000 μB per atom
calculated formation energy: -0.55 eV/atom
theoretical density: 8.3 g/cm³